# 1
# Cs2TlAgCl6

A relaxed structure of Cs2TlAgCl6 (GGA-PBE, OQMD).

Geometry as POSCAR:
```
Cs2TlAgCl6
1.0
6.829 -1.162 3.030
0.898 0.245 7.503
1.395 -6.356 3.850
Ag Cl Cs Tl
1 6 2 1
direct
0.500 0.500 0.500
0.751 0.249 0.249
0.249 0.751 0.249
0.751 0.751 0.249
0.249 0.249 0.751
0.751 0.249 0.751
0.249 0.751 0.751
0.250 0.250 0.250
0.750 0.750 0.750
0.000 0.000 0.000
```

* VASP energy: -3.0207 eV per atom
* ρ: 4.30 g/cm³

# 2
# Cs2TlAgCl6

A relaxed structure of Cs2TlAgCl6 (GGA-PBE, OQMD).

Geometry as POSCAR:
```
Cs2TlAgCl6
1.0
-4.138 0.245 6.320
0.000 -5.884 4.744
6.163 4.327 -0.649
Ag Cl Cs Tl
1 6 2 1
direct
0.500 0.500 0.000
0.751 0.751 0.250
0.751 0.250 0.251
0.250 0.751 0.251
0.750 0.249 0.749
0.249 0.750 0.749
0.249 0.249 0.750
0.250 0.250 0.250
0.750 0.750 0.750
0.000 0.000 0.500
```

* VASP energy: -3.0207 eV per atom
* ρ: 4.30 g/cm³

# 3
# Cs2TmAgCl6

A relaxed structure of Cs2TmAgCl6 (GGA-PBE, OQMD).

Geometry as POSCAR:
```
Cs2TmAgCl6
1.0
6.414 -2.328 3.344
-2.883 -6.975 0.884
0.201 3.235 -6.873
Ag Cl Cs Tm
1 6 2 1
direct
0.500 0.500 0.000
0.241 0.241 0.000
0.759 0.759 0.000
0.265 0.779 0.044
0.221 0.265 0.485
0.779 0.735 0.515
0.735 0.221 0.956
0.750 0.250 0.500
0.250 0.750 0.500
0.000 0.000 0.000
```

* total magnetization: 0.00 Bohr magnetons per cell
* VASP energy: -3.8686 eV per atom
* ρ: 4.07 g/cm³